[1]
This record from the Alexandria database describes a relaxed structure of Fe5Co3. The functional is PBE.

```
data_Fe5Co3
_cell_length_a 2.852
_cell_length_b 4.027
_cell_length_c 16.109
_cell_angle_alpha 90.00
_cell_angle_beta 90.00
_cell_angle_gamma 90.00
_space_group_name_H-M_alt 'P 1'
_space_group_IT_number 1
loop_
_space_group_symop_operation_xyz
'x,y,z'
loop_
_atom_site_label
_atom_site_fract_x
_atom_site_fract_y
_atom_site_fract_z
Fe1 0.000 0.000 0.000
Fe2 0.000 0.000 0.249
Fe3 0.000 0.000 0.751
Fe4 0.000 0.500 0.125
Fe5 0.000 0.500 0.875
Fe6 0.500 0.000 0.375
Fe7 0.500 0.000 0.625
Fe8 0.500 0.500 0.251
Fe9 0.500 0.500 0.500
Fe10 0.500 0.500 0.749
Co1 0.000 0.000 0.500
Co2 0.000 0.500 0.376
Co3 0.000 0.500 0.624
Co4 0.500 0.000 0.124
Co5 0.500 0.000 0.876
Co6 0.500 0.500 0.000
```

Summary:
* ΔH_f (0 K): -5.0 kJ per mole of atoms
* N(E_F): 0.512 states/eV/atom
* raw total energy: -8.01 eV per atom
* space-group type: Immm (71)
* ΔE to the lowest computed polymorph: 9 meV/atom


[2]
This record from the Alexandria database describes a relaxed structure of Fe7Co. The functional is PBE.

```
data_Fe7Co
_cell_length_a 6.970
_cell_length_b 6.970
_cell_length_c 6.970
_cell_angle_alpha 33.54
_cell_angle_beta 33.54
_cell_angle_gamma 33.54
_space_group_name_H-M_alt 'P 1'
_space_group_IT_number 1
loop_
_space_group_symop_operation_xyz
'x,y,z'
loop_
_atom_site_label
_atom_site_fract_x
_atom_site_fract_y
_atom_site_fract_z
Fe1 0.000 0.000 0.000
Fe2 0.125 0.125 0.125
Fe3 0.250 0.250 0.250
Fe4 0.375 0.375 0.375
Fe5 0.625 0.625 0.625
Fe6 0.750 0.750 0.750
Fe7 0.875 0.875 0.875
Co1 0.500 0.500 0.500
```

Summary:
* ΔH_f (0 K): -1.9 kJ per mole of atoms
* N(E_F): 0.771 states/eV/atom
* raw total energy: -8.31 eV per atom
* space-group type: R-3m (166)
* ΔE to the lowest computed polymorph: 0 meV/atom


[3]
This record from the Alexandria database describes a relaxed structure of Fe4Co3. The functional is PBE.

```
data_Fe4Co3
_cell_length_a 13.068
_cell_length_b 13.062
_cell_length_c 2.485
_cell_angle_alpha 84.68
_cell_angle_beta 84.40
_cell_angle_gamma 10.92
_space_group_name_H-M_alt 'P 1'
_space_group_IT_number 1
loop_
_space_group_symop_operation_xyz
'x,y,z'
loop_
_atom_site_label
_atom_site_fract_x
_atom_site_fract_y
_atom_site_fract_z
Fe1 0.000 0.000 0.000
Fe2 0.140 0.140 0.860
Fe3 0.425 0.425 0.575
Fe4 0.849 0.849 0.151
Co1 0.277 0.277 0.723
Co2 0.570 0.570 0.430
Co3 0.712 0.712 0.288
```

Summary:
* ΔH_f (0 K): 5.4 kJ per mole of atoms
* N(E_F): 1.007 states/eV/atom
* raw total energy: -7.83 eV per atom
* space-group type: Fmm2 (42)
* ΔE to the lowest computed polymorph: 106 meV/atom


[4]
This record from the Alexandria database describes a relaxed structure of FeCo6. The functional is PBE.

```
data_FeCo6
_cell_length_a 6.135
_cell_length_b 6.135
_cell_length_c 6.135
_cell_angle_alpha 37.88
_cell_angle_beta 37.88
_cell_angle_gamma 37.88
_space_group_name_H-M_alt 'P 1'
_space_group_IT_number 1
loop_
_space_group_symop_operation_xyz
'x,y,z'
loop_
_atom_site_label
_atom_site_fract_x
_atom_site_fract_y
_atom_site_fract_z
Fe1 0.000 0.000 0.000
Co1 0.142 0.142 0.142
Co2 0.286 0.286 0.286
Co3 0.430 0.430 0.430
Co4 0.570 0.570 0.570
Co5 0.714 0.714 0.714
Co6 0.858 0.858 0.858
```

Summary:
* ΔH_f (0 K): 5.7 kJ per mole of atoms
* N(E_F): 1.356 states/eV/atom
* raw total energy: -7.24 eV per atom
* space-group type: R-3m (166)
* ΔE to the lowest computed polymorph: 7 meV/atom


[5]
This record from the Alexandria database describes a relaxed structure of Fe5Co3. The functional is PBE.

```
data_Fe5Co3
_cell_length_a 2.469
_cell_length_b 8.019
_cell_length_c 4.715
_cell_angle_alpha 90.00
_cell_angle_beta 99.94
_cell_angle_gamma 90.00
_space_group_name_H-M_alt 'P 1'
_space_group_IT_number 1
loop_
_space_group_symop_operation_xyz
'x,y,z'
loop_
_atom_site_label
_atom_site_fract_x
_atom_site_fract_y
_atom_site_fract_z
Fe1 0.000 0.000 0.000
Fe2 0.251 0.251 0.750
Fe3 0.251 0.749 0.750
Fe4 0.749 0.251 0.250
Fe5 0.749 0.749 0.250
Co1 0.000 0.500 0.000
Co2 0.500 0.000 0.500
Co3 0.500 0.500 0.500
```

Summary:
* ΔH_f (0 K): -2.0 kJ per mole of atoms
* N(E_F): 0.607 states/eV/atom
* raw total energy: -7.97 eV per atom
* space-group type: P2/m (10)
* ΔE to the lowest computed polymorph: 40 meV/atom


[6]
This record from the Alexandria database describes a relaxed structure of Fe2Co5. The functional is PBE.

```
data_Fe2Co5
_cell_length_a 2.853
_cell_length_b 3.990
_cell_length_c 13.977
_cell_angle_alpha 90.00
_cell_angle_beta 95.44
_cell_angle_gamma 90.00
_space_group_name_H-M_alt 'P 1'
_space_group_IT_number 1
loop_
_space_group_symop_operation_xyz
'x,y,z'
loop_
_atom_site_label
_atom_site_fract_x
_atom_site_fract_y
_atom_site_fract_z
Fe1 0.072 0.000 0.144
Fe2 0.428 0.500 0.856
Fe3 0.572 0.500 0.144
Fe4 0.928 0.000 0.856
Co1 0.000 0.500 0.000
Co2 0.146 0.500 0.287
Co3 0.214 0.000 0.430
Co4 0.286 0.500 0.570
Co5 0.354 0.000 0.713
Co6 0.500 0.000 0.000
Co7 0.646 0.000 0.287
Co8 0.714 0.500 0.430
Co9 0.786 0.000 0.570
Co10 0.854 0.500 0.713
```

Summary:
* ΔH_f (0 K): 4.0 kJ per mole of atoms
* N(E_F): 1.179 states/eV/atom
* raw total energy: -7.45 eV per atom
* space-group type: C2/m (12)
* ΔE to the lowest computed polymorph: 33 meV/atom


[7]
This record from the Alexandria database describes a relaxed structure of Fe7Co6. The functional is PBE.

```
data_Fe7Co6
_cell_length_a 8.573
_cell_length_b 8.573
_cell_length_c 8.573
_cell_angle_alpha 31.09
_cell_angle_beta 31.09
_cell_angle_gamma 31.09
_space_group_name_H-M_alt 'P 1'
_space_group_IT_number 1
loop_
_space_group_symop_operation_xyz
'x,y,z'
loop_
_atom_site_label
_atom_site_fract_x
_atom_site_fract_y
_atom_site_fract_z
Fe1 0.000 0.000 0.000
Fe2 0.090 0.090 0.585
Fe3 0.090 0.585 0.090
Fe4 0.415 0.910 0.910
Fe5 0.585 0.090 0.090
Fe6 0.910 0.415 0.910
Fe7 0.910 0.910 0.415
Co1 0.167 0.167 0.167
Co2 0.349 0.349 0.349
Co3 0.454 0.454 0.454
Co4 0.546 0.546 0.546
Co5 0.651 0.651 0.651
Co6 0.833 0.833 0.833
```

Summary:
* ΔH_f (0 K): 17.4 kJ per mole of atoms
* N(E_F): 1.499 states/eV/atom
* raw total energy: -7.66 eV per atom
* space-group type: R-3m (166)


[8]
This record from the Alexandria database describes a relaxed structure of FeCo7. The functional is PBE.

```
data_FeCo7
_cell_length_a 5.014
_cell_length_b 10.023
_cell_length_c 3.512
_cell_angle_alpha 90.00
_cell_angle_beta 90.00
_cell_angle_gamma 90.00
_space_group_name_H-M_alt 'P 1'
_space_group_IT_number 1
loop_
_space_group_symop_operation_xyz
'x,y,z'
loop_
_atom_site_label
_atom_site_fract_x
_atom_site_fract_y
_atom_site_fract_z
Fe1 0.000 0.000 0.000
Fe2 0.500 0.500 0.000
Co1 0.000 0.253 0.000
Co2 0.000 0.500 0.000
Co3 0.000 0.747 0.000
Co4 0.247 0.374 0.500
Co5 0.247 0.626 0.500
Co6 0.253 0.126 0.500
Co7 0.253 0.874 0.500
Co8 0.500 0.000 0.000
Co9 0.500 0.247 0.000
Co10 0.500 0.753 0.000
Co11 0.747 0.126 0.500
Co12 0.747 0.874 0.500
Co13 0.753 0.374 0.500
Co14 0.753 0.626 0.500
```

Summary:
* ΔH_f (0 K): 1.2 kJ per mole of atoms
* N(E_F): 1.046 states/eV/atom
* raw total energy: -7.26 eV per atom
* space-group type: Cmmm (65)
* ΔE to the lowest computed polymorph: 3 meV/atom


[9]
This record from the Alexandria database describes a relaxed structure of Fe2Co3. The functional is PBE.

```
data_Fe2Co3
_cell_length_a 4.002
_cell_length_b 4.002
_cell_length_c 12.325
_cell_angle_alpha 90.00
_cell_angle_beta 90.00
_cell_angle_gamma 120.00
_space_group_name_H-M_alt 'P 1'
_space_group_IT_number 1
loop_
_space_group_symop_operation_xyz
'x,y,z'
loop_
_atom_site_label
_atom_site_fract_x
_atom_site_fract_y
_atom_site_fract_z
Fe1 0.000 0.000 0.099
Fe2 0.000 0.000 0.901
Fe3 0.333 0.667 0.567
Fe4 0.333 0.667 0.766
Fe5 0.667 0.333 0.234
Fe6 0.667 0.333 0.433
Co1 0.000 0.000 0.297
Co2 0.000 0.000 0.500
Co3 0.000 0.000 0.703
Co4 0.333 0.667 0.167
Co5 0.333 0.667 0.370
Co6 0.333 0.667 0.963
Co7 0.667 0.333 0.037
Co8 0.667 0.333 0.630
Co9 0.667 0.333 0.833
```

Summary:
* ΔH_f (0 K): -1.6 kJ per mole of atoms
* N(E_F): 0.768 states/eV/atom
* raw total energy: -7.66 eV per atom
* space-group type: R-3m (166)
* ΔE to the lowest computed polymorph: 11 meV/atom


[10]
This record from the Alexandria database describes a relaxed structure of FeCo6. The functional is PBE.

```
data_FeCo6
_cell_length_a 2.857
_cell_length_b 2.857
_cell_length_c 19.197
_cell_angle_alpha 90.00
_cell_angle_beta 90.00
_cell_angle_gamma 90.00
_space_group_name_H-M_alt 'P 1'
_space_group_IT_number 1
loop_
_space_group_symop_operation_xyz
'x,y,z'
loop_
_atom_site_label
_atom_site_fract_x
_atom_site_fract_y
_atom_site_fract_z
Fe1 0.000 0.000 0.000
Fe2 0.500 0.500 0.500
Co1 0.000 0.000 0.146
Co2 0.000 0.000 0.285
Co3 0.000 0.000 0.428
Co4 0.000 0.000 0.572
Co5 0.000 0.000 0.715
Co6 0.000 0.000 0.854
Co7 0.500 0.500 0.072
Co8 0.500 0.500 0.215
Co9 0.500 0.500 0.354
Co10 0.500 0.500 0.646
Co11 0.500 0.500 0.785
Co12 0.500 0.500 0.928
```

Summary:
* ΔH_f (0 K): 5.3 kJ per mole of atoms
* N(E_F): 1.200 states/eV/atom
* raw total energy: -7.25 eV per atom
* space-group type: I4/mmm (139)
* ΔE to the lowest computed polymorph: 2 meV/atom


[11]
This record from the Alexandria database describes a relaxed structure of FeCo7. The functional is PBE.

```
data_FeCo7
_cell_length_a 2.814
_cell_length_b 3.963
_cell_length_c 16.024
_cell_angle_alpha 90.00
_cell_angle_beta 90.00
_cell_angle_gamma 90.00
_space_group_name_H-M_alt 'P 1'
_space_group_IT_number 1
loop_
_space_group_symop_operation_xyz
'x,y,z'
loop_
_atom_site_label
_atom_site_fract_x
_atom_site_fract_y
_atom_site_fract_z
Fe1 0.000 0.000 0.000
Fe2 0.500 0.500 0.500
Co1 0.000 0.000 0.244
Co2 0.000 0.000 0.500
Co3 0.000 0.000 0.756
Co4 0.000 0.500 0.130
Co5 0.000 0.500 0.379
Co6 0.000 0.500 0.621
Co7 0.000 0.500 0.870
Co8 0.500 0.000 0.121
Co9 0.500 0.000 0.370
Co10 0.500 0.000 0.630
Co11 0.500 0.000 0.879
Co12 0.500 0.500 0.000
Co13 0.500 0.500 0.256
Co14 0.500 0.500 0.744
```

Summary:
* ΔH_f (0 K): 5.1 kJ per mole of atoms
* N(E_F): 1.113 states/eV/atom
* raw total energy: -7.22 eV per atom
* space-group type: Immm (71)
* ΔE to the lowest computed polymorph: 43 meV/atom


[12]
This record from the Alexandria database describes a relaxed structure of Fe4Co3. The functional is PBE.

```
data_Fe4Co3
_cell_length_a 4.574
_cell_length_b 4.574
_cell_length_c 4.529
_cell_angle_alpha 90.00
_cell_angle_beta 90.00
_cell_angle_gamma 120.00
_space_group_name_H-M_alt 'P 1'
_space_group_IT_number 1
loop_
_space_group_symop_operation_xyz
'x,y,z'
loop_
_atom_site_label
_atom_site_fract_x
_atom_site_fract_y
_atom_site_fract_z
Fe1 0.000 0.000 0.245
Fe2 0.000 0.000 0.755
Fe3 0.333 0.667 0.000
Fe4 0.667 0.333 0.000
Co1 0.000 0.500 0.500
Co2 0.500 0.000 0.500
Co3 0.500 0.500 0.500
```

Summary:
* ΔH_f (0 K): 7.0 kJ per mole of atoms
* N(E_F): 1.183 states/eV/atom
* raw total energy: -7.81 eV per atom
* space-group type: P6/mmm (191)
* ΔE to the lowest computed polymorph: 122 meV/atom